1.
Crystalline SrReRu2 at its relaxed geometry. Source: Alexandria via LeMat-Bulk, functional PBE-GGA.

It has space group F-43m (No. 216), with a = 6.5197 Å, b = 6.5197 Å, c = 6.5197 Å, α = 90.00°, β = 90.00° and γ = 90.00°. The asymmetric unit holds Sr at (0.0000, 0.0000, 0.0000), Re at (0.2500, 0.2500, 0.2500), Ru at (0.0000, 0.0000, 0.5000) and Ru at (0.2500, 0.2500, 0.7500).

The value obtained for the density of states at the Fermi level is 19.9 states/eV/cell. The formation energy is 1.08 eV/atom. The spin magnetization comes out at 6.302 Bohr magnetons per cell.



2.
Crystalline CeNdCrN4 at its relaxed geometry. Source: Alexandria via LeMat-Bulk, functional PBE-GGA.

It has space group P2_1/m (No. 11), with a = 5.7029 Å, b = 5.4724 Å, c = 6.9293 Å, α = 90.00°, β = 108.96° and γ = 90.00°. The asymmetric unit holds Ce at (0.2121, 0.2500, 0.0388), Nd at (0.2863, 0.2500, 0.5682), Cr at (0.2352, 0.7500, 0.7980), N at (0.0331, 0.5023, 0.7454), N at (0.4055, 0.7500, 0.0574) and N at (0.4389, 0.7500, 0.6520).

The value obtained for the density of states at the Fermi level is 11.9 states/eV/cell. The value obtained for the energy relative to the elements, uncorrected is -1.056 eV per atom. The spin magnetization comes out at 1.844 Bohr magnetons per cell.



3.
Crystalline Li10Mg4Cd at its relaxed geometry. Source: Alexandria via LeMat-Bulk, functional PBE-GGA.

It has space group I4/m (No. 87), with a = 8.4752 Å, b = 8.4752 Å, c = 9.0550 Å, α = 90.00°, β = 90.00° and γ = 90.00°. The asymmetric unit holds Li at (0.0000, 0.5000, 0.2500), Li at (0.1224, 0.2275, 0.1668), Mg at (0.0502, 0.2729, 0.5000) and Cd at (0.0000, 0.0000, 0.0000).

The value obtained for the density of states at the Fermi level is 10.8 states/eV/cell. The formation energy is 0.08 eV/atom. The spin magnetization comes out at 0.000 Bohr magnetons per cell.



4.
Crystalline HfSi2Te6 at its relaxed geometry. Source: Alexandria via LeMat-Bulk, functional PBE-GGA.

It has space group R3 (No. 146, hexagonal axes), with a = 6.8538 Å, b = 6.8538 Å, c = 22.3691 Å, α = 90.00°, β = 90.00° and γ = 120.00°. The asymmetric unit holds Hf at (0.0000, 0.0000, 0.0000), Si at (0.0000, 0.0000, 0.6131), Si at (0.0000, 0.0000, 0.7182), Te at (0.0090, 0.6513, 0.7521) and Te at (0.0101, 0.3596, 0.5804).

The value obtained for the density of states at the Fermi level is 21.9 states/eV/cell. The value obtained for the energy relative to the elements, uncorrected is -0.170 eV per atom. The spin magnetization comes out at 0.000 Bohr magnetons per cell.